Record 1
A crystal of Cd2BrN relaxed with PBEsol. Source: Alexandria, functional meta-GGA SCAN.

Geometry as CIF:
```
data_Cd2BrN
_chemical_formula_sum 'Cd2 Br1 N1'
_cell_length_a 4.651
_cell_length_b 4.651
_cell_length_c 4.651
_cell_angle_alpha 60.00
_cell_angle_beta 60.00
_cell_angle_gamma 60.00
_space_group_name_H-M_alt 'P 1'
_space_group_IT_number 1
loop_
_space_group_symop_operation_xyz
'x,y,z'
loop_
_atom_site_label
_atom_site_type_symbol
_atom_site_fract_x
_atom_site_fract_y
_atom_site_fract_z
_atom_site_occupancy
Cd1 Cd 0.250 0.250 0.250 1
Cd2 Cd 0.750 0.750 0.750 1
Br1 Br 0.000 0.000 0.000 1
N1 N 0.500 0.500 0.500 1
```

Output
space-group type	Fm-3m, No. 225
raw formation energy	3.5	eV per formula unit

Record 2
A crystal of Tc5Ru relaxed with PBEsol. Source: Alexandria, functional meta-GGA SCAN.

Geometry as CIF:
```
data_Tc5Ru
_chemical_formula_sum 'Tc5 Ru1'
_cell_length_a 6.044
_cell_length_b 6.044
_cell_length_c 3.810
_cell_angle_alpha 90.00
_cell_angle_beta 90.00
_cell_angle_gamma 143.20
_space_group_name_H-M_alt 'P 1'
_space_group_IT_number 1
loop_
_space_group_symop_operation_xyz
'x,y,z'
loop_
_atom_site_label
_atom_site_type_symbol
_atom_site_fract_x
_atom_site_fract_y
_atom_site_fract_z
_atom_site_occupancy
Tc1 Tc 0.000 0.000 0.000 1
Tc2 Tc 0.165 0.835 0.500 1
Tc3 Tc 0.334 0.666 0.000 1
Tc4 Tc 0.666 0.334 0.000 1
Tc5 Tc 0.835 0.165 0.500 1
Ru1 Ru 0.500 0.500 0.500 1
```

Output
offset from the most stable computed form	91.8	meV per atom
space-group type	Cmmm, No. 65

Record 3
A crystal of La2Sb relaxed with PBEsol. Source: Alexandria, functional meta-GGA SCAN.

Geometry as CIF:
```
data_La2Sb
_chemical_formula_sum 'La6 Sb3'
_cell_length_a 8.653
_cell_length_b 8.653
_cell_length_c 4.378
_cell_angle_alpha 90.00
_cell_angle_beta 90.00
_cell_angle_gamma 120.00
_space_group_name_H-M_alt 'P 1'
_space_group_IT_number 1
loop_
_space_group_symop_operation_xyz
'x,y,z'
loop_
_atom_site_label
_atom_site_type_symbol
_atom_site_fract_x
_atom_site_fract_y
_atom_site_fract_z
_atom_site_occupancy
La1 La 0.000 0.265 0.000 1
La2 La 0.000 0.583 0.500 1
La3 La 0.265 0.000 0.000 1
La4 La 0.417 0.417 0.500 1
La5 La 0.583 0.000 0.500 1
La6 La 0.735 0.735 0.000 1
Sb1 Sb 0.000 0.000 0.500 1
Sb2 Sb 0.333 0.667 0.000 1
Sb3 Sb 0.667 0.333 0.000 1
```

Output
space-group type	P-62m, No. 189
raw formation energy	-2.9	eV per formula unit

Record 4
A crystal of SiPRu2Br relaxed with PBEsol. Source: Alexandria, functional meta-GGA SCAN.

Geometry as CIF:
```
data_SiPRu2Br
_chemical_formula_sum 'Si1 P1 Ru2 Br1'
_cell_length_a 4.458
_cell_length_b 4.458
_cell_length_c 4.635
_cell_angle_alpha 90.00
_cell_angle_beta 90.00
_cell_angle_gamma 90.00
_space_group_name_H-M_alt 'P 1'
_space_group_IT_number 1
loop_
_space_group_symop_operation_xyz
'x,y,z'
loop_
_atom_site_label
_atom_site_type_symbol
_atom_site_fract_x
_atom_site_fract_y
_atom_site_fract_z
_atom_site_occupancy
Si1 Si 0.000 0.000 0.000 1
P1 P 0.500 0.500 0.500 1
Ru1 Ru 0.000 0.500 0.000 1
Ru2 Ru 0.500 0.000 0.000 1
Br1 Br 0.000 0.000 0.500 1
```

Output
space-group type	P4/mmm, No. 123
raw formation energy	7.1	eV per formula unit

Record 5
A crystal of Cd2AsIr relaxed with PBEsol. Source: Alexandria, functional meta-GGA SCAN.

Geometry as CIF:
```
data_Cd2AsIr
_chemical_formula_sum 'Cd2 As1 Ir1'
_cell_length_a 4.625
_cell_length_b 4.625
_cell_length_c 4.625
_cell_angle_alpha 60.00
_cell_angle_beta 60.00
_cell_angle_gamma 60.00
_space_group_name_H-M_alt 'P 1'
_space_group_IT_number 1
loop_
_space_group_symop_operation_xyz
'x,y,z'
loop_
_atom_site_label
_atom_site_type_symbol
_atom_site_fract_x
_atom_site_fract_y
_atom_site_fract_z
_atom_site_occupancy
Cd1 Cd 0.000 0.000 0.000 1
Cd2 Cd 0.250 0.250 0.250 1
As1 As 0.500 0.500 0.500 1
Ir1 Ir 0.750 0.750 0.750 1
```

Output
space-group type	F-43m, No. 216

Record 6
A crystal of K2CoMo relaxed with PBEsol. Source: Alexandria, functional meta-GGA SCAN.

Geometry as CIF:
```
data_K2CoMo
_chemical_formula_sum 'K2 Co1 Mo1'
_cell_length_a 3.666
_cell_length_b 3.666
_cell_length_c 5.752
_cell_angle_alpha 90.00
_cell_angle_beta 90.00
_cell_angle_gamma 90.00
_space_group_name_H-M_alt 'P 1'
_space_group_IT_number 1
loop_
_space_group_symop_operation_xyz
'x,y,z'
loop_
_atom_site_label
_atom_site_type_symbol
_atom_site_fract_x
_atom_site_fract_y
_atom_site_fract_z
_atom_site_occupancy
K1 K 0.000 0.500 0.000 1
K2 K 0.500 0.000 0.000 1
Co1 Co 0.000 0.000 0.500 1
Mo1 Mo 0.500 0.500 0.500 1
```

Output
offset from the most stable computed form	147.7	meV per atom
space-group type	P4/mmm, No. 123

Record 7
A crystal of LiCd2Te relaxed with PBEsol. Source: Alexandria, functional meta-GGA SCAN.

Geometry as CIF:
```
data_LiCd2Te
_chemical_formula_sum 'Li1 Cd2 Te1'
_cell_length_a 3.249
_cell_length_b 4.199
_cell_length_c 6.830
_cell_angle_alpha 90.00
_cell_angle_beta 103.60
_cell_angle_gamma 90.00
_space_group_name_H-M_alt 'P 1'
_space_group_IT_number 1
loop_
_space_group_symop_operation_xyz
'x,y,z'
loop_
_atom_site_label
_atom_site_type_symbol
_atom_site_fract_x
_atom_site_fract_y
_atom_site_fract_z
_atom_site_occupancy
Li1 Li 0.000 0.000 0.000 1
Cd1 Cd 0.360 0.500 0.719 1
Cd2 Cd 0.768 0.000 0.534 1
Te1 Te 0.585 0.500 0.171 1
```

Output
space-group type	Pm, No. 6
raw formation energy	-1.3	eV per formula unit

Record 8
A crystal of Tc3SI relaxed with PBEsol. Source: Alexandria, functional meta-GGA SCAN.

Geometry as CIF:
```
data_Tc3SI
_chemical_formula_sum 'Tc3 S1 I1'
_cell_length_a 4.779
_cell_length_b 4.779
_cell_length_c 4.779
_cell_angle_alpha 90.00
_cell_angle_beta 90.00
_cell_angle_gamma 90.00
_space_group_name_H-M_alt 'P 1'
_space_group_IT_number 1
loop_
_space_group_symop_operation_xyz
'x,y,z'
loop_
_atom_site_label
_atom_site_type_symbol
_atom_site_fract_x
_atom_site_fract_y
_atom_site_fract_z
_atom_site_occupancy
Tc1 Tc 0.000 0.000 0.500 1
Tc2 Tc 0.000 0.500 0.000 1
Tc3 Tc 0.500 0.000 0.000 1
S1 S 0.500 0.500 0.500 1
I1 I 0.000 0.000 0.000 1
```

Output
space-group type	Pm-3m, No. 221
raw formation energy	11.8	eV per formula unit

Record 9
A crystal of CaLaY2 relaxed with PBEsol. Source: Alexandria, functional meta-GGA SCAN.

Geometry as CIF:
```
data_CaLaY2
_chemical_formula_sum 'Ca1 La1 Y2'
_cell_length_a 6.248
_cell_length_b 6.248
_cell_length_c 6.277
_cell_angle_alpha 99.51
_cell_angle_beta 99.51
_cell_angle_gamma 33.54
_space_group_name_H-M_alt 'P 1'
_space_group_IT_number 1
loop_
_space_group_symop_operation_xyz
'x,y,z'
loop_
_atom_site_label
_atom_site_type_symbol
_atom_site_fract_x
_atom_site_fract_y
_atom_site_fract_z
_atom_site_occupancy
Ca1 Ca 0.000 0.000 0.000 1
La1 La 0.754 0.754 0.268 1
Y1 Y 0.247 0.247 0.740 1
Y2 Y 0.501 0.501 0.502 1
```

Output
offset from the most stable computed form	19.0	meV per atom
space-group type	Cm, No. 8

Record 10
A crystal of Ti2Ga2Pd relaxed with PBEsol. Source: Alexandria, functional meta-GGA SCAN.

Geometry as CIF:
```
data_Ti2Ga2Pd
_chemical_formula_sum 'Ti4 Ga4 Pd2'
_cell_length_a 6.389
_cell_length_b 6.389
_cell_length_c 3.783
_cell_angle_alpha 90.00
_cell_angle_beta 90.00
_cell_angle_gamma 90.00
_space_group_name_H-M_alt 'P 1'
_space_group_IT_number 1
loop_
_space_group_symop_operation_xyz
'x,y,z'
loop_
_atom_site_label
_atom_site_type_symbol
_atom_site_fract_x
_atom_site_fract_y
_atom_site_fract_z
_atom_site_occupancy
Ti1 Ti 0.165 0.335 0.000 1
Ti2 Ti 0.335 0.835 0.000 1
Ti3 Ti 0.665 0.165 0.000 1
Ti4 Ti 0.835 0.665 0.000 1
Ga1 Ga 0.137 0.637 0.500 1
Ga2 Ga 0.363 0.137 0.500 1
Ga3 Ga 0.637 0.863 0.500 1
Ga4 Ga 0.863 0.363 0.500 1
Pd1 Pd 0.000 0.000 0.500 1
Pd2 Pd 0.500 0.500 0.500 1
```

Output
space-group type	P4/mbm, No. 127

| no. | V (Å³ per cell) | total energy (eV/atom) | magnetization (Bohr magnetons per cell) |
| --- | --- | --- | --- |
| 1 | 71 | -21.52 | 0.00 |
| 2 | 83 | -34.97 | 0.00 |
| 3 | 284 | -42.14 | 3.14 |
| 4 | 92 | -20.48 | 1.08 |
| 5 | 70 | -37.70 | 0.00 |
| 6 | 77 | -15.59 | 0.00 |
| 7 | 91 | -25.43 | 0.00 |
| 8 | 109 | -27.94 | 6.28 |
| 9 | 133 | -27.02 | 0.07 |
| 10 | 154 | -20.15 | 0.00 |